1.
# KBeTe3 | Alexandria | PBE-GGA | optimized geometry
data_KBeTe3
_chemical_formula_sum 'K1 Be1 Te3'
_space_group_name_H-M_alt 'P 1'
_space_group_IT_number 1
_space_group_name_Hall 'P 1'
_cell_length_a 5.2355
_cell_length_b 5.2355
_cell_length_c 5.2355
_cell_angle_alpha 90.00
_cell_angle_beta 90.00
_cell_angle_gamma 90.00
loop_
_atom_site_label
_atom_site_type_symbol
_atom_site_fract_x
_atom_site_fract_y
_atom_site_fract_z
_atom_site_occupancy
K1 K 0.0000 0.0000 0.0000 1
Be1 Be 0.5000 0.5000 0.5000 1
Te1 Te 0.0000 0.5000 0.5000 1
Te2 Te 0.5000 0.0000 0.5000 1
Te3 Te 0.5000 0.5000 0.0000 1
# Energy relative to the elements, uncorrected, meV per atom: -83
# V, Å³ per atom: 28.70
# Symmetry: Pm-3m (221)
# Excess energy over the best structure of this formula in the dataset, eV/atom: 0.000
# VASP energy, eV per atom: -2.933
# N(E_F), states/eV per cell: 4.52

***

2.
# K2BeTe | Alexandria | PBE-GGA | optimized geometry
data_K2BeTe
_chemical_formula_sum 'K2 Be1 Te1'
_space_group_name_H-M_alt 'P 1'
_space_group_IT_number 1
_space_group_name_Hall 'P 1'
_cell_length_a 4.4250
_cell_length_b 4.4250
_cell_length_c 7.1181
_cell_angle_alpha 90.00
_cell_angle_beta 90.00
_cell_angle_gamma 90.00
loop_
_atom_site_label
_atom_site_type_symbol
_atom_site_fract_x
_atom_site_fract_y
_atom_site_fract_z
_atom_site_occupancy
K1 K 0.0000 0.0000 0.0000 1
K2 K 0.5000 0.5000 0.3406 1
Be1 Be 0.5000 0.5000 0.7795 1
Te1 Te 0.0000 0.0000 0.5469 1
# Energy relative to the elements, uncorrected, meV per atom: 178
# V, Å³ per atom: 34.84
# Symmetry: P4mm (99)
# Excess energy over the best structure of this formula in the dataset, eV/atom: 0.348
# VASP energy, eV per atom: -2.088

***

3.
# KBe2Te | Alexandria | PBE-GGA | optimized geometry
data_KBe2Te
_chemical_formula_sum 'K2 Be4 Te2'
_space_group_name_H-M_alt 'P 1'
_space_group_IT_number 1
_space_group_name_Hall 'P 1'
_cell_length_a 6.4780
_cell_length_b 6.4780
_cell_length_c 6.4780
_cell_angle_alpha 104.54
_cell_angle_beta 104.54
_cell_angle_gamma 119.86
loop_
_atom_site_label
_atom_site_type_symbol
_atom_site_fract_x
_atom_site_fract_y
_atom_site_fract_z
_atom_site_occupancy
K1 K 0.0000 0.0000 0.0000 1
K2 K 0.7500 0.2500 0.5000 1
Be1 Be 0.2064 0.1250 0.5814 1
Be2 Be 0.3750 0.7936 0.9186 1
Be3 Be 0.5436 0.6250 0.4186 1
Be4 Be 0.8750 0.4564 0.0814 1
Te1 Te 0.2500 0.7500 0.5000 1
Te2 Te 0.5000 0.5000 0.0000 1
# Energy relative to the elements, uncorrected, meV per atom: 644
# V, Å³ per atom: 25.50
# Symmetry: I-42d (122)
# VASP energy, eV per atom: -2.279
# N(E_F), states/eV per cell: 4.62

***

4.
# KBeTe2 | Alexandria | PBE-GGA | optimized geometry
data_KBeTe2
_chemical_formula_sum 'K1 Be1 Te2'
_space_group_name_H-M_alt 'P 1'
_space_group_IT_number 1
_space_group_name_Hall 'P 1'
_cell_length_a 5.2729
_cell_length_b 3.8420
_cell_length_c 6.8090
_cell_angle_alpha 90.00
_cell_angle_beta 90.32
_cell_angle_gamma 90.00
loop_
_atom_site_label
_atom_site_type_symbol
_atom_site_fract_x
_atom_site_fract_y
_atom_site_fract_z
_atom_site_occupancy
K1 K 0.0000 0.0000 0.0000 1
Be1 Be 0.5000 0.0000 0.5000 1
Te1 Te 0.4986 0.5000 0.7417 1
Te2 Te 0.5014 0.5000 0.2583 1
# Energy relative to the elements, uncorrected, meV per atom: -349
# V, Å³ per atom: 34.48
# Symmetry: P2/m (10)
# VASP energy, eV per atom: -3.126
# N(E_F), states/eV per cell: 1.29

***

5.
# KBe2Te | Alexandria | PBE-GGA | optimized geometry
data_KBe2Te
_chemical_formula_sum 'K1 Be2 Te1'
_space_group_name_H-M_alt 'P 1'
_space_group_IT_number 1
_space_group_name_Hall 'P 1'
_cell_length_a 6.2431
_cell_length_b 6.2431
_cell_length_c 3.0478
_cell_angle_alpha 103.82
_cell_angle_beta 103.82
_cell_angle_gamma 119.20
loop_
_atom_site_label
_atom_site_type_symbol
_atom_site_fract_x
_atom_site_fract_y
_atom_site_fract_z
_atom_site_occupancy
K1 K 0.0000 0.0000 0.0000 1
Be1 Be 0.0000 0.5000 0.0000 1
Be2 Be 0.5000 0.0000 0.0000 1
Te1 Te 0.5000 0.5000 0.0000 1
# Energy relative to the elements, uncorrected, meV per atom: 907
# V, Å³ per atom: 22.85
# Symmetry: C2/m (12)
# VASP energy, eV per atom: -2.016
# N(E_F), states/eV per cell: 2.02

***

6.
# KBe2Te | Alexandria | PBE-GGA | optimized geometry
data_KBe2Te
_chemical_formula_sum 'K1 Be2 Te1'
_space_group_name_H-M_alt 'P 1'
_space_group_IT_number 1
_space_group_name_Hall 'P 1'
_cell_length_a 4.2358
_cell_length_b 4.2358
_cell_length_c 7.0131
_cell_angle_alpha 102.40
_cell_angle_beta 102.40
_cell_angle_gamma 53.24
loop_
_atom_site_label
_atom_site_type_symbol
_atom_site_fract_x
_atom_site_fract_y
_atom_site_fract_z
_atom_site_occupancy
K1 K 0.0000 0.0000 0.0000 1
Be1 Be 0.4137 0.4137 0.3645 1
Be2 Be 0.7166 0.7166 0.3704 1
Te1 Te 0.2181 0.2181 0.5924 1
# Energy relative to the elements, uncorrected, meV per atom: 224
# V, Å³ per atom: 24.46
# Symmetry: Cm (8)
# VASP energy, eV per atom: -2.699
# N(E_F), states/eV per cell: 1.36

***

7.
# KBeTe2 | Alexandria | PBE-GGA | optimized geometry
data_KBeTe2
_chemical_formula_sum 'K1 Be1 Te2'
_space_group_name_H-M_alt 'P 1'
_space_group_IT_number 1
_space_group_name_Hall 'P 1'
_cell_length_a 3.5397
_cell_length_b 3.5397
_cell_length_c 8.5623
_cell_angle_alpha 90.00
_cell_angle_beta 90.00
_cell_angle_gamma 90.00
loop_
_atom_site_label
_atom_site_type_symbol
_atom_site_fract_x
_atom_site_fract_y
_atom_site_fract_z
_atom_site_occupancy
K1 K 0.0000 0.0000 0.0000 1
Be1 Be 0.0000 0.0000 0.5000 1
Te1 Te 0.5000 0.5000 0.3090 1
Te2 Te 0.5000 0.5000 0.6910 1
# Energy relative to the elements, uncorrected, meV per atom: 105
# V, Å³ per atom: 26.82
# Symmetry: P4/mmm (123)
# VASP energy, eV per atom: -2.672
# N(E_F), states/eV per cell: 2.20

***

8.
# K2BeTe | Alexandria | PBE-GGA | optimized geometry
data_K2BeTe
_chemical_formula_sum 'K2 Be1 Te1'
_space_group_name_H-M_alt 'P 1'
_space_group_IT_number 1
_space_group_name_Hall 'P 1'
_cell_length_a 7.1680
_cell_length_b 7.1680
_cell_length_c 5.4503
_cell_angle_alpha 112.27
_cell_angle_beta 112.27
_cell_angle_gamma 32.35
loop_
_atom_site_label
_atom_site_type_symbol
_atom_site_fract_x
_atom_site_fract_y
_atom_site_fract_z
_atom_site_occupancy
K1 K 0.0000 0.0000 0.0000 1
K2 K 0.1871 0.1871 0.6871 1
Be1 Be 0.4206 0.4206 0.4214 1
Te1 Te 0.7997 0.7997 0.2997 1
# Energy relative to the elements, uncorrected, meV per atom: -141
# V, Å³ per atom: 34.42
# Symmetry: Cm (8)
# Excess energy over the best structure of this formula in the dataset, eV/atom: 0.029
# VASP energy, eV per atom: -2.406
# N(E_F), states/eV per cell: 0.70